1.
11
Lattice="-1.384 -2.054 -2.498 -0.409 -5.676 4.893 -8.542 3.181 2.117" Properties=species:S:1:pos:R:3 comment="Tm4Ni2Hg5 | Alexandria | PBE | optimized geometry" delta_e_f_ev_per_atom=-0.4509 final_energy_ev_per_atom=-3.2652 space_group=P2/m pbc="T T T"
Ni -5.397 1.621 1.657
Tm -4.513 -0.876 0.744
Ni -3.553 -4.116 5.352
Tm -5.821 -3.673 3.768
Hg -7.664 -2.019 5.905
Hg -3.077 -2.083 3.417
Hg -1.287 -0.477 1.105
Hg -0.204 -2.838 2.446
Tm -7.937 0.638 1.396
Tm -2.397 -5.187 3.115
Hg -5.874 -0.412 3.592

=====

2.
7
Lattice="-2.733 3.928 3.465 0.996 -3.447 4.694 6.084 3.965 5.339" Properties=species:S:1:pos:R:3 comment="Na2AsI4 | Alexandria | PBE | optimized geometry" final_energy_ev_per_atom=-2.5170 formation_energy_uncorrected_ev_per_atom=-0.59 de_polymorph_ev_per_atom=0.033 space_group=I4/mmm pbc="T T T"
I 0.761 1.819 8.611
I 0.498 -1.724 2.347
Na 3.458 3.264 9.100
I -1.366 1.964 1.733
As 0.000 0.000 0.000
Na 0.890 1.182 4.398
I 3.586 2.627 4.887

=====

3.
10
Lattice="-6.224 -3.579 1.608 2.712 -6.163 -3.219 2.323 -1.700 5.212" Properties=species:S:1:pos:R:3 comment="Nd2SmHoMg | Alexandria | PBE | optimized geometry" delta_e_f_ev_per_atom=0.1586 final_energy_ev_per_atom=-3.9268 space_group=Pmma pbc="T T T"
Nd -1.779 -5.483 4.106
Mg 1.162 -0.850 2.606
Nd -0.601 -8.160 2.708
Mg 0.000 0.000 0.000
Sm 2.136 -4.910 2.548
Ho -3.337 -2.678 2.315
Nd 0.590 -5.957 -0.505
Nd -0.588 -3.281 0.892
Sm -3.324 -6.531 1.052
Ho -0.563 -2.601 4.505

=====

4.
20
Lattice="4.428 0.000 0.000 0.000 4.428 0.000 0.000 0.000 22.270" Properties=species:S:1:pos:R:3 comment="Hf15In4Pb | Alexandria | PBE | optimized geometry" delta_e_f_ev_per_atom=-0.1140 final_energy_ev_per_atom=-8.3122 space_group=P4/mmm pbc="T T T"
Hf 2.214 0.000 6.709
Hf 2.214 2.214 0.000
Hf 2.214 0.000 15.561
Hf 2.214 2.214 13.348
Hf 0.000 2.214 6.709
Hf 0.000 2.214 2.291
Hf 2.214 0.000 2.291
Hf 2.214 0.000 19.979
Hf 2.214 2.214 17.768
Pb 0.000 0.000 0.000
In 0.000 0.000 8.919
In 0.000 0.000 17.785
Hf 2.214 2.214 4.502
Hf 0.000 2.214 15.561
In 0.000 0.000 13.351
Hf 2.214 0.000 11.135
Hf 0.000 2.214 19.979
Hf 2.214 2.214 8.922
Hf 0.000 2.214 11.135
In 0.000 0.000 4.485

=====

For reference, N(E_F) by record: 7.03; 2.77; 16.00; 15.91 states/eV per cell.